No. 1
Entry from Alexandria: an optimized crystal structure of InPtI2N (PBE).

Unit cell a=5.060 b=4.480 c=5.060 alpha=90.00 beta=90.00 gamma=90.00
Element x y z (fractional)
I1 0.000 0.000 0.500
I2 0.500 0.000 0.000
N1 0.000 0.000 0.000
Pt1 0.500 0.500 0.500
In1 0.000 0.500 0.000

The value obtained for the calculated volume is 114.7 Å³/cell. The space group is P4/mmm. For the total energy, the calculation gives -14.9 eV for the cell shown. As for the energy above the lowest structure with this stoichiometry: 793 meV per atom.

=====

No. 2
Entry from Alexandria: an optimized crystal structure of Ga2CuSnTe (PBE).

Unit cell a=4.790 b=4.790 c=5.237 alpha=90.00 beta=90.00 gamma=90.00
Element x y z (fractional)
Te1 0.500 0.500 0.500
Sn1 0.000 0.000 0.500
Ga1 0.000 0.500 0.000
Ga2 0.500 0.000 0.000
Cu1 0.000 0.000 0.000

The value obtained for the calculated volume is 120.2 Å³/cell. The space group is P4/mmm. For the total energy, the calculation gives -17.3 eV for the cell shown.

=====

No. 3
Entry from Alexandria: an optimized crystal structure of Er5Th3P12 (PBE).

Unit cell a=14.154 b=14.154 c=14.154 alpha=109.47 beta=109.47 gamma=109.47
Element x y z (fractional)
Th1 0.750 0.375 0.125
Th2 0.875 0.750 0.125
Th3 0.375 0.750 0.625
Th4 0.250 0.125 0.375
Th5 0.875 0.125 0.250
Th6 0.375 0.625 0.250
Th7 0.625 0.375 0.750
Th8 0.125 0.875 0.750
Th9 0.750 0.875 0.625
Th10 0.625 0.250 0.375
Th11 0.125 0.250 0.875
Th12 0.250 0.625 0.875
Er1 0.125 0.375 0.250
Er2 0.000 0.500 0.000
Er3 0.000 0.000 0.000
Er4 0.375 0.250 0.125
Er5 0.500 0.000 0.500
Er6 0.500 0.500 0.000
Er7 0.125 0.750 0.375
Er8 0.750 0.125 0.875
Er9 0.750 0.625 0.375
Er10 0.375 0.125 0.750
Er11 0.625 0.875 0.250
Er12 0.500 0.500 0.500
Er13 0.500 0.000 0.000
Er14 0.000 0.000 0.500
Er15 0.250 0.375 0.625
Er16 0.250 0.875 0.125
Er17 0.000 0.500 0.500
Er18 0.875 0.250 0.625
Er19 0.625 0.750 0.875
Er20 0.875 0.625 0.750
P1 0.752 0.156 0.072
P2 0.320 0.572 0.416
P3 0.928 0.344 0.248
P4 0.572 0.252 0.156
P5 0.596 0.752 0.680
P6 0.928 0.584 0.180
P7 0.320 0.748 0.404
P8 0.084 0.904 0.156
P9 0.584 0.928 0.680
P10 0.752 0.596 0.180
P11 0.748 0.428 0.344
P12 0.820 0.916 0.072
P13 0.156 0.752 0.572
P14 0.344 0.416 0.096
P15 0.096 0.916 0.344
P16 0.404 0.156 0.584
P17 0.096 0.180 0.252
P18 0.428 0.680 0.084
P19 0.820 0.904 0.248
P20 0.156 0.404 0.084
P21 0.344 0.928 0.748
P22 0.584 0.656 0.404
P23 0.916 0.820 0.572
P24 0.748 0.320 0.904
P25 0.416 0.344 0.596
P26 0.084 0.180 0.428
P27 0.252 0.680 0.096
P28 0.180 0.096 0.752
P29 0.656 0.072 0.252
P30 0.844 0.596 0.916
P31 0.572 0.320 0.916
P32 0.596 0.844 0.416
P33 0.904 0.820 0.748
P34 0.904 0.084 0.656
P35 0.844 0.248 0.428
P36 0.180 0.084 0.928
P37 0.656 0.584 0.904
P38 0.416 0.072 0.320
P39 0.248 0.404 0.820
P40 0.252 0.572 0.656
P41 0.916 0.096 0.844
P42 0.680 0.252 0.596
P43 0.428 0.748 0.844
P44 0.072 0.416 0.820
P45 0.404 0.248 0.320
P46 0.072 0.656 0.752
P47 0.680 0.428 0.584
P48 0.248 0.844 0.928

The value obtained for the calculated volume is 2182.6 Å³/cell. The space group is Ia-3d. Its formation energy is -655 meV/atom. For the total energy, the calculation gives -492.4 eV for the cell shown.

=====

No. 4
Entry from Alexandria: an optimized crystal structure of CeNd3Ir8 (PBE).

Unit cell a=5.433 b=5.433 c=9.399 alpha=73.20 beta=73.20 gamma=60.00
Element x y z (fractional)
Ce1 0.875 0.875 0.375
Nd1 0.375 0.375 0.876
Nd2 0.000 0.000 0.999
Nd3 0.500 0.500 0.501
Ir1 0.935 0.438 0.190
Ir2 0.440 0.937 0.685
Ir3 0.438 0.438 0.190
Ir4 0.937 0.937 0.685
Ir5 0.187 0.187 0.438
Ir6 0.688 0.688 0.937
Ir7 0.438 0.935 0.190
Ir8 0.937 0.440 0.685

The value obtained for the calculated volume is 226.5 Å³/cell. The space group is R3m. Its formation energy is -714 meV/atom. For the total energy, the calculation gives -99.7 eV for the cell shown.